# 1
A plane-wave DFT calculation with PBE was carried out for a geometry-optimized NaNb2Co2 structure.

Cell: 7.549 7.549 2.785 Å, 90.00 90.00 90.00°
Space group P4/mbm (No. 127)
One atom of each set of equivalent atoms:
Na1 0.000 0.000 0.000 (multiplicity 2)
Nb1 0.155 0.345 0.500 (multiplicity 4)
Co1 0.134 0.634 0.000 (multiplicity 4)

Properties
- E: -34.6 eV per formula unit
- Calculated volume: 158.68 Å³ per cell

---

# 2
A plane-wave DFT calculation with PBE was carried out for a geometry-optimized BeTc2Hg structure.

Cell: 5.051 8.307 2.878 Å, 90.00 90.00 90.00°
Space group Cmmm (No. 65)
One atom of each set of equivalent atoms:
Be1 0.000 0.000 0.000 (multiplicity 2)
Tc1 0.250 0.250 0.500 (multiplicity 4)
Hg1 0.000 0.500 0.000 (multiplicity 2)

Properties
- E: -22.3 eV per formula unit
- Calculated volume: 120.74 Å³ per cell

---

Computed Fermi-level density of states, in the same sequence as the records: 0.813 1.098 states/eV/atom.
Computed energy of formation, in the same sequence as the records: 207.7 616.7 meV per atom.
Computed ρ, in the same sequence as the records: 6.837 11.156 g/cm3.